Computed, not measured: an optimized crystal structure of LaZr at the GGA-PBE level of DFT.

Unit cell a=11.3943 b=11.3943 c=3.8069 alpha=90.00 beta=90.00 gamma=90.00
Closest atoms and distances in Å follow each position.
Atoms (fractional coordinates):
1 La 0.1616 0.8491 0.0000  5 Zr 3.40-3.63, 4 La 3.56-3.58
2 La 0.8384 0.1509 0.0000  5 Zr 3.40-3.63, 4 La 3.56-3.58
3 La 0.1509 0.1616 0.0000  5 Zr 3.40-3.63, 4 La 3.56-3.58
4 La 0.8491 0.8384 0.0000  5 Zr 3.40-3.63, 4 La 3.56-3.58
5 La 0.6616 0.3491 0.5000  5 Zr 3.40-3.63, 4 La 3.56-3.58
6 La 0.3384 0.6509 0.5000  5 Zr 3.40-3.63, 4 La 3.56-3.58
7 La 0.6509 0.6616 0.5000  5 Zr 3.40-3.63, 4 La 3.56-3.58
8 La 0.3491 0.3384 0.5000  5 Zr 3.40-3.63, 4 La 3.56-3.58
9 Zr 0.5328 0.1384 0.0000  5 Zr 2.98-3.24
10 Zr 0.4672 0.8616 0.0000  5 Zr 2.98-3.24
11 Zr 0.8616 0.5328 0.0000  5 Zr 2.98-3.24
12 Zr 0.1384 0.4672 0.0000  5 Zr 2.98-3.24
13 Zr 0.0328 0.6384 0.5000  5 Zr 2.98-3.24
14 Zr 0.9672 0.3616 0.5000  5 Zr 2.98-3.24
15 Zr 0.3616 0.0328 0.5000  5 Zr 2.98-3.24
16 Zr 0.6384 0.9672 0.5000  5 Zr 2.98-3.24

Properties
The calculation puts the energy above the most stable polymorph in this dataset at 0.10 eV per formula unit. The space-group type is I4/m. The value obtained for the spin magnetization is 0.0 μB/f.u. The value obtained for the formation energy is 0.166 eV per atom. Its density of states at the Fermi level is 1.4552 states/eV/atom.